(1)
The following is a GGA-PBE calculation of TlBr3F after structural relaxation, from the Alexandria database.

```
10
Lattice="4.218 -5.017 0.000 4.218 5.017 0.000 -2.707 0.000 9.737" Properties=species:S:1:pos:R:3 pbc="T T T"
Tl -0.077 0.000 1.807
Tl 5.807 0.000 7.930
Br 1.701 2.563 6.724
Br 4.029 2.563 3.013
Br 1.672 0.000 7.102
Br 4.058 0.000 2.635
Br 1.701 -2.563 6.724
Br 4.029 -2.563 3.013
F 1.380 0.000 0.062
F 4.350 0.000 9.675
```

Properties
Formation energy without anion corrections   -627 meV/atom
Offset from the most stable computed form   0.08 eV per formula unit
N(E_F)   2.39 states/eV per cell
Final energy   -2.478 eV/atom

(2)
The following is a GGA-PBE calculation of ReGeW3 after structural relaxation, from the Alexandria database.

```
5
Lattice="4.515 0.000 0.000 0.000 4.515 0.000 0.000 0.000 4.515" Properties=species:S:1:pos:R:3 pbc="T T T"
Re 0.000 0.000 0.000
Ge 2.258 2.258 2.258
W 0.000 2.258 2.258
W 2.258 0.000 2.258
W 2.258 2.258 0.000
```

Properties
ΔH_f (0 K)   1.88 eV/atom
Offset from the most stable computed form   0.00 eV per formula unit
N(E_F)   6.03 states/eV per cell
Final energy   -9.302 eV/atom

(3)
The following is a GGA-PBE calculation of Ho2ZnHg8 after structural relaxation, from the Alexandria database.

```
11
Lattice="4.599 0.000 0.000 0.000 4.599 0.000 0.000 0.000 12.423" Properties=species:S:1:pos:R:3 pbc="T T T"
Ho 0.000 0.000 2.398
Ho 0.000 0.000 10.024
Zn 0.000 0.000 6.211
Hg 0.000 2.300 0.000
Hg 0.000 2.300 4.605
Hg 0.000 2.300 7.818
Hg 2.300 0.000 0.000
Hg 2.300 0.000 4.605
Hg 2.300 0.000 7.818
Hg 2.300 2.300 2.323
Hg 2.300 2.300 10.099
```

Properties
ΔH_f (0 K)   -0.22 eV/atom
N(E_F)   6.53 states/eV per cell
Final energy   -1.392 eV/atom

(4)
The following is a GGA-PBE calculation of Rb3Y2US6 after structural relaxation, from the Alexandria database.

```
12
Lattice="3.548 -6.149 0.000 3.548 6.149 0.000 -2.365 0.000 7.696" Properties=species:S:1:pos:R:3 pbc="T T T"
Rb 0.000 0.000 0.000
Rb 3.548 2.063 0.000
Rb 3.548 -2.063 0.000
Y 2.365 4.101 3.848
Y 2.365 -4.101 3.848
U 2.365 0.000 3.848
S 1.181 2.054 2.365
S -0.004 0.000 5.334
S 1.181 -2.054 2.365
S 3.549 2.054 5.331
S 4.734 0.000 2.362
S 3.549 -2.054 5.331
```

Properties
Formation energy without anion corrections   -1666 meV/atom
N(E_F)   9.95 states/eV per cell
Final energy   -5.989 eV/atom